CsCdRuBr2 after structural relaxation. Source: Alexandria via LeMat-Bulk, functional PBE.

Cell and atoms, written as extended XYZ:
```
5
Lattice="5.207 0.000 0.000 0.000 5.857 0.000 0.000 0.000 5.207" Properties=species:S:1:pos:R:3 pbc="T T T"
Cd 2.604 2.928 2.604
Br 0.000 0.000 2.604
Br 2.604 0.000 0.000
Cs 0.000 2.928 0.000
Ru 0.000 0.000 0.000
```

- formation energy without anion corrections (meV/atom) = 87.4
- Fermi-level density of states (states/eV per atom) = 0.94

CsCdRuBr6 after structural relaxation. Source: Alexandria via LeMat-Bulk, functional PBE.

Cell and atoms, written as extended XYZ:
```
9
Lattice="7.015 0.000 0.000 3.508 6.075 0.000 0.001 -0.001 8.118" Properties=species:S:1:pos:R:3 pbc="T T T"
Cd 3.508 2.025 4.059
Br 7.947 5.884 2.587
Br 5.892 2.326 5.531
Br 6.083 5.884 5.531
Br 4.961 3.939 2.587
Br 9.069 3.940 5.531
Br 8.138 2.326 2.587
Cs 7.015 0.000 8.118
Ru 7.015 4.050 4.059
```

- formation energy without anion corrections (meV/atom) = -787.7
- Fermi-level density of states (states/eV per atom) = 0.93